10
Lattice="-4.355 4.355 2.544 4.355 -4.355 2.544 4.355 4.355 -2.544" Properties=species:S:1:pos:R:3 comment="Ta5Nb4Os (GGA-PBE, optimized geometry)" space_group="I4 (79)" formation_enthalpy_0k_ev_per_atom=0.39 n_ef_per_ev_cell=10.334 relative_energy_mev_per_atom=502 magnetic_moment_mub_per_cell=0.000 total_energy_ev_per_cell=-106.87 pbc="T T T"
Ta 0.000 0.000 0.000
Ta 5.894 2.584 -0.891
Ta 2.584 2.816 -0.891
Ta 1.771 1.539 1.654
Ta -1.539 1.771 1.654
Nb 4.261 -1.497 1.620
Nb 4.448 1.497 1.620
Nb 1.497 4.261 1.620
Nb -1.497 4.448 1.620
Os 0.000 0.000 2.635